! meta-GGA SCAN BeZnCl2, single point on PBEsol structure; values from VASP
&SYSTEM
  ibrav = 0, nat = 4, ntyp = 3
/
ATOMIC_SPECIES
Be 9.01 Be.upf
Cl 35.45 Cl.upf
Zn 65.41 Zn.upf
CELL_PARAMETERS angstrom
3.1748 0.0000 0.0000
0.0000 4.5172 0.0000
0.0000 0.0000 4.5172
ATOMIC_POSITIONS crystal
Be 0.5000 0.0000 0.0000
Cl 0.0000 0.5000 0.0000
Cl 0.0000 0.0000 0.5000
Zn 0.5000 0.5000 0.5000
! distance to the lowest polymorph of the same formula: 4.204 eV per formula unit
! total DFT energy (no corrections): -32.58 eV per cell
! energy relative to the elements, uncorrected: 0.312 eV per atom

---

! meta-GGA SCAN TcP2PtS, single point on PBEsol structure; values from VASP
&SYSTEM
  ibrav = 0, nat = 5, ntyp = 4
/
ATOMIC_SPECIES
P 30.97 P.upf
Pt 195.08 Pt.upf
Tc 98.00 Tc.upf
S 32.06 S.upf
CELL_PARAMETERS angstrom
4.5217 0.0000 0.0000
0.0000 4.5217 0.0000
0.0000 0.0000 4.7531
ATOMIC_POSITIONS crystal
P 0.5000 0.0000 0.0000
P 0.0000 0.5000 0.0000
Pt 0.0000 0.0000 0.0000
Tc 0.5000 0.5000 0.5000
S 0.0000 0.0000 0.5000
! distance to the lowest polymorph of the same formula: 1.214 eV per formula unit
! total DFT energy (no corrections): -130.22 eV per cell
! energy relative to the elements, uncorrected: 1.091 eV per atom

---

! meta-GGA SCAN BaHfHg2Cl, single point on PBEsol structure; values from VASP
&SYSTEM
  ibrav = 0, nat = 5, ntyp = 4
/
ATOMIC_SPECIES
Ba 137.33 Ba.upf
Hg 200.59 Hg.upf
Cl 35.45 Cl.upf
Hf 178.49 Hf.upf
CELL_PARAMETERS angstrom
-0.6132 4.5270 -1.6472
-3.6417 -1.8476 -3.7217
-4.0960 0.7653 3.6281
ATOMIC_POSITIONS crystal
Ba 0.5000 0.5000 0.5000
Hg 0.0000 0.0000 0.5000
Hg 0.0000 0.5000 0.0000
Cl 0.5000 0.0000 0.0000
Hf 0.0000 0.0000 0.0000
! total DFT energy (no corrections): -249.66 eV per cell
! energy relative to the elements, uncorrected: -0.625 eV per atom

---

! meta-GGA SCAN CaTeAsBr2, single point on PBEsol structure; values from VASP
&SYSTEM
  ibrav = 0, nat = 5, ntyp = 4
/
ATOMIC_SPECIES
Ca 40.08 Ca.upf
Br 79.90 Br.upf
Te 127.60 Te.upf
As 74.92 As.upf
CELL_PARAMETERS angstrom
5.4620 0.0000 0.0000
0.0000 5.4636 0.0000
0.0000 0.0000 5.4636
ATOMIC_POSITIONS crystal
Ca 0.5000 0.5000 0.5000
Br 0.0000 0.5000 0.0000
Br 0.0000 0.0000 0.5000
Te 0.0000 0.0000 0.0000
As 0.5000 0.0000 0.0000
! total DFT energy (no corrections): -107.43 eV per cell
! energy relative to the elements, uncorrected: -0.281 eV per atom

---

! meta-GGA SCAN CaAlH2, single point on PBEsol structure; values from VASP
&SYSTEM
  ibrav = 0, nat = 8, ntyp = 3
/
ATOMIC_SPECIES
H 1.01 H.upf
Ca 40.08 Ca.upf
Al 26.98 Al.upf
CELL_PARAMETERS angstrom
-3.2852 -1.2652 -2.8072
3.0736 -1.1004 -3.1010
0.3259 -3.7822 4.9342
ATOMIC_POSITIONS crystal
H 0.6250 0.5621 0.7500
H 0.8121 0.3750 0.2500
H 0.4379 0.8750 0.2500
H 0.1250 0.1879 0.7500
Ca 0.0000 0.0000 0.0000
Ca 0.2500 0.7500 0.5000
Al 0.7500 0.2500 0.5000
Al 0.5000 0.5000 0.0000
! distance to the lowest polymorph of the same formula: 0.000 eV per formula unit
! total DFT energy (no corrections): -48.69 eV per cell

---

! meta-GGA SCAN ZrCdPb2, single point on PBEsol structure; values from VASP
&SYSTEM
  ibrav = 0, nat = 4, ntyp = 3
/
ATOMIC_SPECIES
Zr 91.22 Zr.upf
Pb 207.20 Pb.upf
Cd 112.41 Cd.upf
CELL_PARAMETERS angstrom
-3.1855 -2.7835 -3.0627
-3.7452 -2.9537 2.1270
-5.0121 1.3815 -0.4952
ATOMIC_POSITIONS crystal
Zr 0.2500 0.2500 0.2500
Pb 0.7500 0.7500 0.7500
Pb 0.0000 0.0000 0.0000
Cd 0.5000 0.5000 0.5000
! total DFT energy (no corrections): -211.68 eV per cell
! formation energy from the elements: 0.249 eV/atom